Density functional theory data (PBE) for a relaxed AcPmNb2O8 crystal.

Properties
raw formation energy = -3070 meV/atom
crystal system = tetragonal
total magnetic moment = 0.00 μB per formula unit
DOS(E_F) = 0.00 states/eV per cell

```
AcPmNb2O8
1.0
5.459 0.000 0.000
0.000 5.459 0.000
-2.729 -2.729 5.900
Ac Pm Nb O
1 1 2 8
Cartesian
2.729 0.000 2.950 Ac
0.000 0.000 0.000 Pm
2.729 2.729 0.000 Nb
0.000 2.729 2.950 Nb
3.646 4.070 0.973 O
1.813 1.389 0.973 O
1.359 1.913 3.988 O
-1.359 3.546 3.988 O
-0.817 1.370 1.911 O
0.817 4.089 1.911 O
-1.340 0.917 4.926 O
1.340 -0.917 4.926 O
```